Density functional theory data (GGA-PBE) for a relaxed structure of Be2GaBiAu.

The total magnetization comes out at 0.00 μB/f.u. The crystal system is tetragonal. As for the energy: -2.429 eV per atom. The value obtained for the density of states at the Fermi level is 0.512 states/eV/atom. For the energy relative to the elements, the calculation gives 1098 meV/atom.

The space group is P4/mmm (No. 123) and the conventional cell measures 4.750, 4.750 and 5.629 Å, with angles of 90.00, 90.00 and 90.00 degrees. The distinct sites, in fractional coordinates, are Be at (0.000, 0.500, 0.000), Ga at (0.000, 0.000, 0.500), Bi at (0.500, 0.500, 0.000) and Au at (0.500, 0.500, 0.500).